{
  "formula": "FePtI2O",
  "functional": "PBE+U",
  "state": "relaxed",
  "volume_a3_per_atom": 25.02,
  "dos_at_fermi_per_ev_fu": 4.285,
  "relative_energy_ev_per_atom": 0.068,
  "mass_density_g_cm3": 6.91,
  "lattice": [[-0.428, -5.456, -1.579], [2.375, 1.266, -5.020], [3.492, -0.701, 1.476]],
  "species": ["I", "I", "O", "Fe", "Pt"],
  "frac_coords": [[0.000, 0.500, 0.000], [0.500, 0.000, 0.000], [0.000, 0.000, 0.500], [0.500, 0.500, 0.500], [0.000, 0.000, 0.000]]
}